Entry 1:
A relaxed ScRh2I crystal. Source: Alexandria, functional GGA-PBE.

**Uncorrected formation energy**: -3.03 kJ per mole of atoms
**Magnetization**: 0.00 Bohr magnetons per cell
**Uncorrected energy**: -90.84 eV per cell

Unit cell a=4.1964 b=4.1964 c=17.8670 alpha=90.00 beta=90.00 gamma=90.00
With the nearest neighbours (Å) after each atom.
Space group I-42d (No. 122)
One atom of each set of equivalent atoms:
Sc  0.0000  0.0000  0.0000 x4  4 Rh 2.66, 4 I 2.97
Rh  0.2377  0.2500  0.1250 x8  2 Sc 2.66, 2 I 2.70, 2 Rh 2.90
I  0.0000  0.0000  0.5000 x4  4 Rh 2.70, 4 Sc 2.97

***

Entry 2:
A relaxed LiPCl2 crystal. Source: Alexandria, functional GGA-PBE.

**Uncorrected formation energy**: -4.46 kJ per mole of atoms
**Magnetization**: 0.00 Bohr magnetons per cell
**Uncorrected energy**: -44.81 eV per cell

Unit cell a=6.7087 b=6.7087 c=6.7087 alpha=90.00 beta=90.00 gamma=90.00
With the nearest neighbours (Å) after each atom.
Space group Fm-3m (No. 225)
One atom of each set of equivalent atoms:
Li  0.0000  0.0000  0.0000 x4  8 Cl 2.90
P  0.0000  0.0000  0.5000 x4  8 Cl 2.90
Cl  0.2500  0.2500  0.2500 x8  4 Li 2.90, 4 P 2.90

***

Entry 3:
A relaxed AgMoP2 crystal. Source: Alexandria, functional GGA-PBE.

**Magnetization**: 0.00 Bohr magnetons per cell
**Uncorrected energy**: -45.67 eV per cell

Unit cell a=3.3284 b=4.2879 c=9.8867 alpha=90.00 beta=90.00 gamma=90.00
With the nearest neighbours (Å) after each atom.
Space group Cmm2 (No. 35)
One atom of each set of equivalent atoms:
Ag  0.0000  0.0000  0.0000 x2  4 Ag 2.71, 2 P 2.74, 2 Mo 2.94
Mo  0.0000  0.5000  0.2450 x2  2 P 2.47, 4 Mo 2.71
P  0.0000  0.0000  0.4301 x2  2 Mo 2.47, 4 P 2.71
P  0.0000  0.5000  0.7797 x2  4 P 2.71, 2 Ag 2.74

***

Entry 4:
A relaxed Rb2Sr2Hg15 crystal. Source: Alexandria, functional GGA-PBE.

**Magnetization**: 0.00 Bohr magnetons per cell
**Uncorrected energy**: -41.38 eV per cell

Unit cell a=10.6651 b=10.6651 c=18.1943 alpha=90.00 beta=90.00 gamma=120.00
With the nearest neighbours (Å) after each atom.
Space group R-3m (No. 166, hexagonal axes)
One atom of each set of equivalent atoms:
Rb  0.0000  0.0000  0.1549 x6  12 Hg 3.73-4.06
Sr  0.0000  0.0000  0.3976 x6  12 Hg 3.29-3.63
Hg  0.0000  0.2925  0.5000 x18  6 Hg 3.12-3.43
Hg  0.0000  0.5000  0.0000 x9  8 Hg 3.17-3.43, 2 Sr 3.29
Hg  0.0045  0.5023  0.6306 x18  6 Hg 3.17-3.31

***

Entry 5:
A relaxed Ba2MgBr crystal. Source: Alexandria, functional GGA-PBE.

**Uncorrected formation energy**: -70.01 kJ per mole of atoms
**Magnetization**: 1.19 Bohr magnetons per cell
**Uncorrected energy**: -30.05 eV per cell

Unit cell a=4.6757 b=4.6757 c=27.8188 alpha=90.00 beta=90.00 gamma=120.00
With the nearest neighbours (Å) after each atom.
Space group R-3m (No. 166, hexagonal axes)
One atom of each set of equivalent atoms:
Ba  0.0000  0.0000  0.2459 x6  3 Br 3.49, 3 Mg 3.63
Mg  0.0000  0.0000  0.0000 x3  6 Ba 3.63
Br  0.0000  0.0000  0.5000 x3  6 Ba 3.49

***

Entry 6:
A relaxed CeY2NbN4 crystal. Source: Alexandria, functional GGA-PBE.

**Uncorrected formation energy**: -120.89 kJ per mole of atoms
**Magnetization**: 2.76 Bohr magnetons per cell
**Uncorrected energy**: -289.03 eV per cell

Unit cell a=3.4063 b=11.9186 c=12.1585 alpha=90.00 beta=90.00 gamma=90.00
With the nearest neighbours (Å) after each atom.
Space group Cmcm (No. 63)
One atom of each set of equivalent atoms:
Ce  0.0000  0.1049  0.2500 x4  2 N 2.49
Y  0.0000  0.3704  0.0349 x8  5 N 2.32-2.55
Nb  0.0000  0.1583  0.7500 x4  4 N 1.97-2.15
N  0.0000  0.0000  0.0000 x4  4 Y 2.34
N  0.0000  0.2609  0.6226 x8  1 Nb 1.97
N  0.0000  0.4520  0.2500 x4  2 Nb 2.15

***

Entry 7:
A relaxed InPPb3 crystal. Source: Alexandria, functional GGA-PBE.

**Magnetization**: 0.00 Bohr magnetons per cell
**Uncorrected energy**: -17.42 eV per cell

Unit cell a=5.4914 b=5.4914 c=5.4914 alpha=90.00 beta=90.00 gamma=90.00
With the nearest neighbours (Å) after each atom.
Space group Pm-3m (No. 221)
One atom of each set of equivalent atoms:
In  0.0000  0.0000  0.0000 x1  12 Pb 3.88
P  0.5000  0.5000  0.5000 x1  6 Pb 2.75
Pb  0.0000  0.5000  0.5000 x3  2 P 2.75